This record from Alexandria via LeMat-Bulk describes a relaxed Nd8Ni2Rh crystal. The functional is PBE-GGA.

CIF file:
```
data_Nd8Ni2Rh
_chemical_formula_sum 'Nd8 Ni2 Rh1'
_cell_length_a 7.5645
_cell_length_b 7.5645
_cell_length_c 6.4283
_cell_angle_alpha 100.92
_cell_angle_beta 100.92
_cell_angle_gamma 112.41
_symmetry_space_group_name_H-M 'P 1'
_symmetry_Int_Tables_number 1
_symmetry_space_group_name_Hall 'P 1'
loop_
_atom_site_label
_atom_site_fract_x
_atom_site_fract_y
_atom_site_fract_z
_atom_site_occupancy
Nd1 0.0000 0.0000 0.0000 1
Nd2 0.0099 0.2783 0.5834 1
Nd3 0.1666 0.5651 0.2020 1
Nd4 0.2783 0.0099 0.5834 1
Nd5 0.4411 0.7112 0.8216 1
Nd6 0.5651 0.1666 0.2020 1
Nd7 0.7112 0.4411 0.8216 1
Nd8 0.7211 0.7211 0.3847 1
Ni1 0.0425 0.6686 0.6886 1
Ni2 0.6686 0.0425 0.6886 1
Rh1 0.3515 0.3515 0.9903 1
```

Computed properties:
N(E_F) = 12.6 states/eV/cell
ρ = 7.14 g cm⁻³
ΔH_f (0 K) = -143 meV/atom